# CsNa2MnF8 (PBE+U, relaxed)
data_CsNa2MnF8
_chemical_formula_sum 'Cs1 Na2 Mn1 F8'
_cell_length_a 4.909
_cell_length_b 5.188
_cell_length_c 7.792
_cell_angle_alpha 86.12
_cell_angle_beta 80.16
_cell_angle_gamma 89.20
_symmetry_space_group_name_H-M 'P -1'
_symmetry_Int_Tables_number 2
_symmetry_space_group_name_Hall '-P 1'
loop_
_atom_site_label
_atom_site_fract_x
_atom_site_fract_y
_atom_site_fract_z
_atom_site_occupancy
Cs1 0.000 0.000 0.000 1
Na1 0.470 0.489 0.291 1
Mn1 0.000 0.000 0.500 1
F1 0.151 0.778 0.654 1
F2 0.232 0.262 0.537 1
F3 0.262 0.898 0.316 1
F4 0.300 0.480 0.009 1
# Calculated total energy: -4.516 eV per atom
# V: 195 Å³/cell